# 1
This record from Alexandria describes a relaxed Ac6P2Rh3S crystal. The functional is PBE.

```
Ac6P2Rh3S
1.0
-1.419 -4.096 -0.247
8.224 -2.739 -1.810
0.033 1.704 9.704
Ac P Rh S
6 2 3 1
direct
0.670 0.077 0.339 Ac
0.666 0.584 0.331 Ac
0.330 0.923 0.661 Ac
0.003 0.742 0.005 Ac
0.334 0.416 0.669 Ac
0.997 0.258 0.995 Ac
0.165 0.327 0.329 P
0.835 0.673 0.671 P
0.164 0.830 0.329 Rh
0.500 0.500 0.000 Rh
0.836 0.170 0.671 Rh
0.500 0.000 0.000 S
```

For the energy relative to the elements, uncorrected, the calculation gives -1.068 eV per atom. Its total magnetization is 0.00 Bohr magnetons per cell. The density is 8.21 g/cm³. The calculation puts the total energy at -6.206 eV per atom.

=====

# 2
This record from Alexandria describes a relaxed Ce2As3Au crystal. The functional is PBE.

```
Ce2As3Au
1.0
-0.354 -0.861 4.191
-0.700 -5.723 -1.234
6.320 2.513 -1.150
Ce As Au
2 3 1
direct
0.669 0.169 0.338 Ce
0.331 0.831 0.662 Ce
0.663 0.663 0.326 As
0.000 0.000 0.000 As
0.337 0.337 0.674 As
0.000 0.500 0.000 Au
```

Its total magnetization is 0.52 Bohr magnetons per cell. The density is 7.86 g/cm³. The calculation puts the total energy at -5.631 eV per atom.

=====

# 3
This record from Alexandria describes a relaxed Cs2Cu2AuBr6 crystal. The functional is PBE.

```
Cs2Cu2AuBr6
1.0
-7.242 1.516 -0.924
3.993 -3.218 -6.490
-1.729 -5.629 4.321
Cs Br Cu Au
2 6 2 1
direct
0.287 0.573 0.796 Cs
0.713 0.427 0.204 Cs
0.300 0.093 0.773 Br
0.214 0.427 0.261 Br
0.700 0.907 0.227 Br
0.786 0.573 0.739 Br
0.794 0.093 0.773 Br
0.206 0.907 0.227 Br
0.048 0.096 0.198 Cu
0.952 0.904 0.802 Cu
0.500 0.000 0.500 Au
```

For the energy relative to the elements, uncorrected, the calculation gives -0.809 eV per atom. Its total magnetization is 0.00 Bohr magnetons per cell. The density is 4.65 g/cm³. The calculation puts the total energy at -2.920 eV per atom.

=====

# 4
This record from Alexandria describes a relaxed Tb3Er4Cd2 crystal. The functional is PBE.

```
Tb3Er4Cd2
1.0
-2.840 1.699 -3.543
-5.577 -4.931 2.106
0.539 5.373 5.461
Tb Er Cd
3 4 2
direct
0.114 0.670 0.228 Tb
0.000 0.000 0.000 Tb
0.886 0.330 0.772 Tb
0.443 0.666 0.887 Er
0.557 0.334 0.113 Er
0.221 0.322 0.443 Er
0.779 0.678 0.557 Er
0.666 0.999 0.332 Cd
0.334 0.001 0.668 Cd
```

Its total magnetization is 0.00 Bohr magnetons per cell. The density is 8.79 g/cm³. The calculation puts the total energy at -3.849 eV per atom.

=====

# 5
This record from Alexandria describes a relaxed SrAcPmHo crystal. The functional is PBE.

```
SrAcPmHo
1.0
6.078 0.000 0.000
3.039 5.264 0.000
3.039 1.755 4.963
Sr Ho Pm Ac
1 1 1 1
direct
0.250 0.250 0.250 Sr
0.750 0.750 0.750 Ho
0.500 0.500 0.500 Pm
0.000 0.000 0.000 Ac
```

Its total magnetization is 0.00 Bohr magnetons per cell. The density is 6.53 g/cm³. The calculation puts the total energy at -3.584 eV per atom.

=====

# 6
This record from Alexandria describes a relaxed Tl2Hg5H4 crystal. The functional is PBE.

```
Tl2Hg5H4
1.0
3.611 -0.512 -1.051
-1.105 8.693 -1.058
-1.602 -1.665 8.584
H Hg Tl
4 5 2
direct
0.261 0.871 0.316 H
0.076 0.555 0.804 H
0.739 0.129 0.684 H
0.924 0.445 0.196 H
0.621 0.910 0.656 Hg
0.967 0.648 0.640 Hg
0.500 0.000 0.000 Hg
0.033 0.352 0.360 Hg
0.379 0.090 0.344 Hg
0.448 0.351 0.776 Tl
0.552 0.649 0.224 Tl
```

Its total magnetization is 0.00 Bohr magnetons per cell. The density is 9.76 g/cm³. The calculation puts the total energy at -1.514 eV per atom.

=====

# 7
This record from Alexandria describes a relaxed AcTmGa2 crystal. The functional is PBE.

```
AcTmGa2
1.0
-1.314 -1.505 -3.149
2.927 -2.307 -0.119
-3.773 -4.990 3.960
Tm Ac Ga
1 1 2
direct
0.500 0.500 0.000 Tm
0.500 0.500 0.500 Ac
0.000 0.000 0.790 Ga
0.000 0.000 0.210 Ga
```

Its total magnetization is 0.00 Bohr magnetons per cell. The density is 8.64 g/cm³. The calculation puts the total energy at -4.159 eV per atom.

=====

# 8
This record from Alexandria describes a relaxed Tl2Ga2HgI6 crystal. The functional is PBE.

```
Tl2Ga2HgI6
1.0
9.495 0.011 0.008
4.748 8.499 -0.613
0.002 -5.362 8.148
I Tl Hg Ga
6 2 1 2
direct
0.931 0.137 0.393 I
0.969 0.624 0.832 I
0.069 0.863 0.607 I
0.031 0.376 0.168 I
0.407 0.623 0.832 I
0.593 0.377 0.168 I
0.188 0.624 0.116 Tl
0.812 0.376 0.884 Tl
0.500 0.000 0.500 Hg
0.083 0.835 0.860 Ga
0.917 0.165 0.140 Ga
```

For the energy relative to the elements, uncorrected, the calculation gives -0.472 eV per atom. Its total magnetization is 0.00 Bohr magnetons per cell. The density is 4.01 g/cm³. The calculation puts the total energy at -2.325 eV per atom.

=====

# 9
This record from Alexandria describes a relaxed KY2Tc crystal. The functional is PBE.

```
KY2Tc
1.0
-3.909 -1.005 1.349
-1.380 -3.426 2.114
-0.305 2.911 10.220
Y Tc K
2 1 1
direct
0.960 0.960 0.148 Y
0.676 0.676 0.852 Y
0.318 0.318 0.000 Tc
0.545 0.545 0.500 K
```

Its total magnetization is 0.00 Bohr magnetons per cell. The density is 3.72 g/cm³. The calculation puts the total energy at -5.809 eV per atom.

=====

# 10
This record from Alexandria describes a relaxed BaAgIr2 crystal. The functional is PBE.

```
BaAgIr2
1.0
-4.064 -2.422 -0.844
1.468 -0.901 -4.487
2.885 -9.720 0.322
Ba Ir Ag
2 4 2
direct
0.000 0.000 0.000 Ba
0.750 0.250 0.500 Ba
0.406 0.125 0.250 Ir
0.344 0.625 0.250 Ir
0.375 0.594 0.750 Ir
0.875 0.656 0.750 Ir
0.250 0.750 0.500 Ag
0.500 0.500 0.000 Ag
```

Its total magnetization is 0.00 Bohr magnetons per cell. The density is 9.47 g/cm³. The calculation puts the total energy at -5.286 eV per atom.

=====

# 11
This record from Alexandria describes a relaxed BaIn8Pd2 crystal. The functional is PBE.

```
BaIn8Pd2
1.0
-3.940 -4.937 -0.716
3.233 -3.222 4.425
-5.455 3.415 6.472
In Ba Pd
8 1 2
direct
0.752 0.752 0.183 In
0.248 0.248 0.183 In
0.248 0.248 0.817 In
0.248 0.752 0.183 In
0.752 0.248 0.817 In
0.752 0.248 0.183 In
0.752 0.752 0.817 In
0.248 0.752 0.817 In
0.500 0.500 0.500 Ba
0.500 0.000 0.000 Pd
0.000 0.500 0.000 Pd
```

Its total magnetization is 0.00 Bohr magnetons per cell. The density is 5.71 g/cm³. The calculation puts the total energy at -3.245 eV per atom.

=====

# 12
This record from Alexandria describes a relaxed LiAcTlO4 crystal. The functional is PBE.

```
LiAcTlO4
1.0
5.774 0.000 0.146
0.000 5.128 0.000
-2.074 0.000 6.708
O Ac Li Tl
8 2 2 2
direct
0.565 0.250 0.872 O
0.504 0.250 0.423 O
0.496 0.750 0.577 O
0.994 0.504 0.266 O
0.994 0.996 0.266 O
0.006 0.004 0.734 O
0.435 0.750 0.128 O
0.006 0.496 0.734 O
0.725 0.750 0.932 Ac
0.275 0.250 0.068 Ac
0.735 0.250 0.669 Li
0.265 0.750 0.331 Li
0.780 0.750 0.431 Tl
0.220 0.250 0.569 Tl
```

For the energy relative to the elements, uncorrected, the calculation gives -1.642 eV per atom. Its total magnetization is 1.58 Bohr magnetons per cell. The density is 8.33 g/cm³. The calculation puts the total energy at -5.674 eV per atom.

=====

# 13
This record from Alexandria describes a relaxed K2BaSe2O6 crystal. The functional is PBE.

```
K2BaSe2O6
1.0
6.078 0.000 0.000
-3.039 5.251 -0.236
0.000 -3.202 7.224
Se K O Ba
2 2 6 1
direct
0.892 0.784 0.674 Se
0.108 0.216 0.326 Se
0.307 0.614 0.923 K
0.693 0.386 0.077 K
0.773 0.547 0.770 O
0.226 0.001 0.230 O
0.227 0.453 0.230 O
0.775 0.001 0.230 O
0.225 0.999 0.770 O
0.774 0.999 0.770 O
0.500 0.000 0.500 Ba
```

For the energy relative to the elements, uncorrected, the calculation gives -1.604 eV per atom. Its total magnetization is 0.00 Bohr magnetons per cell. The density is 3.45 g/cm³. The calculation puts the total energy at -5.316 eV per atom.

=====

# 14
This record from Alexandria describes a relaxed Sr2AgSn4Pd3 crystal. The functional is PBE.

```
Sr2AgSn4Pd3
1.0
4.656 0.000 0.000
0.000 4.656 0.000
0.000 0.000 11.162
Sr Sn Pd Ag
2 4 3 1
direct
0.000 0.500 0.748 Sr
0.500 0.000 0.252 Sr
0.500 0.500 0.000 Sn
0.000 0.500 0.370 Sn
0.000 0.000 0.000 Sn
0.500 0.000 0.630 Sn
0.000 0.500 0.129 Pd
0.500 0.000 0.871 Pd
0.000 0.000 0.500 Pd
0.500 0.500 0.500 Ag
```

Its total magnetization is 0.00 Bohr magnetons per cell. The density is 7.39 g/cm³. The calculation puts the total energy at -4.407 eV per atom.

=====

# 15
This record from Alexandria describes a relaxed ScTi2PbN crystal. The functional is PBE.

```
ScTi2PbN
1.0
4.197 0.000 0.000
0.000 4.197 0.000
0.000 0.000 4.609
Ti Pb N Sc
2 1 1 1
direct
0.000 0.500 0.000 Ti
0.500 0.000 0.000 Ti
0.500 0.500 0.500 Pb
0.000 0.000 0.000 N
0.000 0.000 0.500 Sc
```

For the energy relative to the elements, uncorrected, the calculation gives -0.809 eV per atom. Its total magnetization is 0.00 Bohr magnetons per cell. The density is 7.40 g/cm³. The calculation puts the total energy at -7.640 eV per atom.

=====

# 16
This record from Alexandria describes a relaxed NiMoW2 crystal. The functional is PBE.

```
NiMoW2
1.0
-2.449 -1.712 -1.158
1.900 -2.572 -0.217
-1.470 -1.539 5.385
Ni Mo W
1 1 2
direct
0.500 0.500 0.757 Ni
0.000 0.000 0.510 Mo
0.000 0.000 0.982 W
0.500 0.500 0.251 W
```

Its total magnetization is 0.00 Bohr magnetons per cell. The density is 14.58 g/cm³. The calculation puts the total energy at -10.489 eV per atom.

=====

# 17
This record from Alexandria describes a relaxed AcLaErPu crystal. The functional is PBE.

```
AcLaErPu
1.0
-1.686 -5.547 -0.673
3.747 -3.956 -2.091
2.130 -4.144 3.514
Ac Pu La Er
1 1 1 1
direct
0.500 0.500 0.500 Ac
0.000 0.000 0.000 Pu
0.250 0.250 0.250 La
0.750 0.750 0.750 Er
```

Its total magnetization is 7.51 Bohr magnetons per cell. The density is 9.18 g/cm³. The calculation puts the total energy at -6.715 eV per atom.

=====

# 18
This record from Alexandria describes a relaxed CuReSiF2 crystal. The functional is PBE.

```
CuReSiF2
1.0
-1.711 1.304 -3.261
-3.653 -3.802 0.397
-2.247 2.381 2.131
Re F Cu Si
1 2 1 1
direct
0.000 0.000 0.000 Re
0.500 0.000 0.000 F
0.000 0.000 0.500 F
0.000 0.500 0.000 Cu
0.500 0.500 0.500 Si
```

For the energy relative to the elements, uncorrected, the calculation gives 0.045 eV per atom. Its total magnetization is 1.46 Bohr magnetons per cell. The density is 6.50 g/cm³. The calculation puts the total energy at -5.097 eV per atom.

=====

# 19
This record from Alexandria describes a relaxed Nd2CuAsS5 crystal. The functional is PBE.

```
Nd2CuAsS5
1.0
3.976 0.000 0.000
-1.988 8.690 0.000
0.000 0.000 11.323
S Nd Cu As
10 4 2 2
direct
0.493 0.986 0.286 S
0.963 0.926 0.563 S
0.690 0.381 0.138 S
0.643 0.287 0.488 S
0.310 0.619 0.638 S
0.697 0.394 0.809 S
0.357 0.713 0.988 S
0.037 0.074 0.063 S
0.507 0.014 0.786 S
0.303 0.606 0.309 S
0.878 0.755 0.796 Nd
0.114 0.228 0.674 Nd
0.886 0.772 0.174 Nd
0.122 0.245 0.296 Nd
0.250 0.499 0.102 Cu
0.750 0.501 0.602 Cu
0.409 0.817 0.467 As
0.591 0.183 0.967 As
```

For the energy relative to the elements, uncorrected, the calculation gives -1.157 eV per atom. Its total magnetization is 0.00 Bohr magnetons per cell. The density is 4.98 g/cm³. The calculation puts the total energy at -5.482 eV per atom.

=====

# 20
This record from Alexandria describes a relaxed Na2In crystal. The functional is PBE.

```
Na2In
1.0
8.237 -0.004 0.000
-3.442 7.483 0.000
0.000 0.000 11.667
In Na
8 16
direct
0.624 0.727 0.224 In
0.331 0.758 0.379 In
0.273 0.376 0.276 In
0.376 0.273 0.724 In
0.242 0.669 0.121 In
0.727 0.624 0.776 In
0.758 0.331 0.621 In
0.669 0.242 0.879 In
0.223 0.951 0.918 Na
0.602 0.846 0.958 Na
0.593 0.593 0.500 Na
0.932 0.068 0.750 Na
0.494 0.895 0.671 Na
0.846 0.602 0.042 Na
0.049 0.777 0.582 Na
0.777 0.049 0.418 Na
0.068 0.932 0.250 Na
0.398 0.154 0.458 Na
0.105 0.506 0.829 Na
0.154 0.398 0.542 Na
0.407 0.407 0.000 Na
0.895 0.494 0.329 Na
0.951 0.223 0.082 Na
0.506 0.105 0.171 Na
```

Its total magnetization is 0.00 Bohr magnetons per cell. The density is 2.97 g/cm³. The calculation puts the total energy at -1.896 eV per atom.